# 1
This record from Alexandria describes an optimized crystal structure of CaZr2. The functional is PBE.

Cell and atoms, written as CIF:
```
data_CaZr2
_chemical_formula_sum 'Ca4 Zr8'
_space_group_name_H-M_alt 'C 1 m 1'
_space_group_IT_number 8
_cell_length_a 12.649
_cell_length_b 3.273
_cell_length_c 7.947
_cell_angle_alpha 90.00
_cell_angle_beta 104.86
_cell_angle_gamma 90.00
loop_
_space_group_symop_operation_xyz
'x,y,z'
'x,-y,z'
'x+1/2,y+1/2,z'
'x+1/2,-y+1/2,z'
loop_
_atom_site_label
_atom_site_type_symbol
_atom_site_fract_x
_atom_site_fract_y
_atom_site_fract_z
Ca1 Ca 0.000 0.000 0.000
Ca2 Ca 0.171 0.500 0.344
Zr1 Zr 0.052 0.000 0.622
Zr2 Zr 0.233 0.500 0.920
Zr3 Zr 0.344 0.000 0.666
Zr4 Zr 0.389 0.000 0.301
```

Values from the calculation:
* final energy: -6.0810 eV/atom
* DOS at the Fermi energy: 1.177 states/eV per atom
* M_tot: 0.000 μB per atom
* ΔE_f: 0.285 eV per atom
* ΔE to the lowest computed polymorph: 132 meV/atom

# 2
This record from Alexandria describes an optimized crystal structure of In2NiMo. The functional is PBE.

Cell and atoms, written as CIF:
```
data_In2NiMo
_chemical_formula_sum 'In2 Ni1 Mo1'
_space_group_name_H-M_alt 'P m m m'
_space_group_IT_number 47
_cell_length_a 2.973
_cell_length_b 3.485
_cell_length_c 6.584
_cell_angle_alpha 90.00
_cell_angle_beta 90.00
_cell_angle_gamma 90.00
loop_
_space_group_symop_operation_xyz
'x,y,z'
'-x,-y,-z'
'-x,-y,z'
'x,y,-z'
'x,-y,-z'
'-x,y,z'
'-x,y,-z'
'x,-y,z'
loop_
_atom_site_label
_atom_site_type_symbol
_atom_site_fract_x
_atom_site_fract_y
_atom_site_fract_z
In1 In 0.000 0.000 0.231
Ni1 Ni 0.500 0.500 0.000
Mo1 Mo 0.500 0.500 0.500
```

Values from the calculation:
* final energy: -5.2846 eV/atom
* DOS at the Fermi energy: 0.717 states/eV per atom
* M_tot: 0.000 μB per atom
* ΔE_f: 0.238 eV per atom
* ΔE to the lowest computed polymorph: 35 meV/atom